Record 1
Entry from Alexandria: a relaxed AcEr4Tm7 crystal (PBE).

Cell and atoms, written as POSCAR:
```
AcEr4Tm7
1.0
6.076 -2.993 0.000
6.076 2.993 0.000
-6.008 0.000 10.879
Ac Er Tm
1 4 7
Cartesian
0.000 0.000 0.000
-0.798 0.000 7.534
3.300 0.000 2.444
2.844 0.000 8.434
6.942 0.000 3.344
-1.726 0.000 4.009
-2.888 0.000 9.971
1.446 0.000 5.205
6.076 0.000 0.000
4.697 0.000 5.673
9.032 0.000 0.907
7.870 0.000 6.870
```

Record 2
Entry from Alexandria: a relaxed AcEr8Tm6 crystal (PBE).

Cell and atoms, written as POSCAR:
```
AcEr8Tm6
1.0
9.438 0.000 0.000
-4.719 8.173 0.000
0.000 0.000 6.353
Ac Er Tm
1 8 6
Cartesian
0.000 0.000 0.000
-2.986 5.591 2.629
1.371 2.792 2.629
0.000 5.449 4.195
3.103 0.209 3.723
1.616 7.964 2.629
4.719 2.724 2.158
3.348 5.382 3.723
7.705 2.583 3.723
-0.995 3.495 0.550
-1.194 7.288 0.550
2.529 2.610 5.803
2.190 5.564 0.550
5.913 0.886 5.803
5.714 4.678 5.803
```

| no. | theoretical density (Mg/m³) | VASP energy (eV for the cell shown) |
| --- | --- | --- |
| 1 | 8.7 | -49.72 |
| 2 | 8.7 | -64.14 |